No. 1
Entry from Alexandria: a relaxed structure of HfGa2 (PBE).

```
6
Lattice="0.000 3.713 3.713 3.713 0.000 3.713 3.713 3.713 0.000" Properties=species:S:1:pos:R:3 pbc="T T T"
Hf 0.928 0.928 0.928
Hf 6.498 6.498 6.498
Ga 3.713 1.856 1.856
Ga 1.856 3.713 1.856
Ga 1.856 1.856 3.713
Ga 3.713 3.713 3.713
```

## Properties
The space group is Fd-3m. The formation energy is -337.4 meV/atom.

***

No. 2
Entry from Alexandria: a relaxed structure of HfGa (PBE).

```
6
Lattice="3.015 0.000 0.000 0.000 7.370 2.502 0.000 -7.370 2.502" Properties=species:S:1:pos:R:3 pbc="T T T"
Hf 0.000 0.000 0.000
Hf 0.000 -2.563 3.305
Hf 0.000 2.563 3.305
Ga 1.507 -2.313 0.820
Ga 1.507 2.313 0.820
Ga 1.507 0.000 2.539
```

## Properties
The space group is Amm2. The formation energy is -339.1 meV/atom.

***

No. 3
Entry from Alexandria: a relaxed structure of HfGa7 (PBE).

```
8
Lattice="0.000 4.156 4.156 4.156 0.000 4.156 4.156 4.156 0.000" Properties=species:S:1:pos:R:3 pbc="T T T"
Hf 0.000 0.000 0.000
Ga 2.078 2.078 0.000
Ga 2.078 0.000 2.078
Ga 4.156 2.078 2.078
Ga 0.000 2.078 2.078
Ga 2.078 4.156 2.078
Ga 2.078 2.078 4.156
Ga 4.156 4.156 4.156
```

## Properties
The space group is Fm-3m. The formation energy is -137.0 meV/atom.

***

No. 4
Entry from Alexandria: a relaxed structure of HfGa6 (PBE).

```
7
Lattice="-3.465 3.465 3.465 3.465 -3.465 3.465 3.465 3.465 -3.465" Properties=species:S:1:pos:R:3 pbc="T T T"
Hf 0.000 0.000 0.000
Ga 3.465 1.732 0.000
Ga 3.465 0.000 1.732
Ga 1.732 3.465 0.000
Ga 1.732 0.000 3.465
Ga 0.000 3.465 1.732
Ga 0.000 1.732 3.465
```

## Properties
The space group is Im-3m. The formation energy is 618.4 meV/atom.

***

No. 5
Entry from Alexandria: a relaxed structure of Hf3Ga5 (PBE).

```
16
Lattice="4.388 -3.540 0.000 4.388 3.540 0.000 0.000 0.000 9.063" Properties=species:S:1:pos:R:3 pbc="T T T"
Hf 4.388 2.590 6.797
Hf 2.585 0.000 0.000
Hf 2.585 0.000 4.532
Hf 6.191 0.000 0.000
Hf 6.191 0.000 4.532
Hf 4.388 -2.590 2.266
Ga 1.849 1.491 6.797
Ga 6.927 -1.491 2.266
Ga 4.388 2.232 0.444
Ga 4.388 2.232 4.087
Ga 1.849 -1.491 2.266
Ga 4.388 0.113 2.266
Ga 4.388 -0.113 6.797
Ga 6.927 1.491 6.797
Ga 4.388 -2.232 4.976
Ga 4.388 -2.232 8.619
```

## Properties
The space group is Cmcm. The formation energy is -462.1 meV/atom.

***

No. 6
Entry from Alexandria: a relaxed structure of HfGa (PBE).

```
16
Lattice="5.435 0.000 0.000 0.000 5.437 0.000 0.000 0.000 10.204" Properties=species:S:1:pos:R:3 pbc="T T T"
Hf 0.732 0.733 2.437
Hf 0.743 2.051 5.641
Hf 1.975 3.385 0.539
Hf 1.986 4.703 7.539
Hf 3.449 1.985 7.766
Hf 3.460 0.667 4.563
Hf 4.693 4.770 9.665
Hf 4.704 3.451 2.665
Ga 0.742 4.860 4.854
Ga 0.775 2.270 8.394
Ga 1.943 3.166 3.292
Ga 1.975 0.576 9.956
Ga 3.460 3.294 5.349
Ga 3.493 0.448 1.809
Ga 4.660 4.989 6.911
Ga 4.693 2.142 0.248
```

## Properties
The space group is P2_12_12_1. The formation energy is -438.8 meV/atom.

***

No. 7
Entry from Alexandria: a relaxed structure of Hf5Ga (PBE).

```
6
Lattice="2.183 -6.631 0.000 2.183 6.631 0.000 0.000 0.000 4.343" Properties=species:S:1:pos:R:3 pbc="T T T"
Hf 0.000 0.000 0.000
Hf 2.183 4.456 2.172
Hf 2.183 2.173 0.000
Hf 2.183 -2.173 0.000
Hf 2.183 -4.456 2.172
Ga 2.183 0.000 2.172
```

## Properties
The space group is Cmmm. The formation energy is -135.7 meV/atom.

***

No. 8
Entry from Alexandria: a relaxed structure of HfGa (PBE).

```
4
Lattice="4.707 0.000 0.000 -2.354 4.077 0.000 0.000 0.000 5.356" Properties=species:S:1:pos:R:3 pbc="T T T"
Hf 0.000 2.718 1.339
Hf 2.354 1.359 4.017
Ga 0.000 2.718 4.017
Ga 2.354 1.359 1.339
```

## Properties
The space group is P6_3/mmc. The formation energy is 418.0 meV/atom.

***

No. 9
Entry from Alexandria: a relaxed structure of HfGa4 (PBE).

```
5
Lattice="-2.341 2.341 4.350 2.341 -2.341 4.350 2.341 2.341 -4.350" Properties=species:S:1:pos:R:3 pbc="T T T"
Hf 0.000 0.000 0.000
Ga 2.341 0.000 2.175
Ga 0.000 0.000 3.157
Ga 0.000 0.000 5.542
Ga 0.000 2.341 2.175
```

## Properties
The space group is I4/mmm. The formation energy is 160.3 meV/atom.

***

No. 10
Entry from Alexandria: a relaxed structure of Hf4Ga3 (PBE).

```
7
Lattice="6.829 -1.890 0.000 6.829 1.890 0.000 -1.977 0.000 5.527" Properties=species:S:1:pos:R:3 pbc="T T T"
Hf 0.180 0.000 1.857
Hf 4.395 0.000 1.177
Hf 7.285 0.000 4.349
Hf 11.501 0.000 3.670
Ga 2.517 0.000 3.721
Ga 6.829 0.000 0.000
Ga 9.164 0.000 1.806
```

## Properties
The space group is C2/m. The formation energy is -209.1 meV/atom.